Density functional theory data (GGA-PBE) for LaMg2Pd after structural relaxation.

Cell: 4.327 10.506 8.335 Å, 90.00 90.00 90.00°
Space group Cmcm (No. 63)
Asymmetric unit:
La (0.000, 0.060, 0.250) [4 per cell]
Mg (0.000, 0.347, 0.055) [8 per cell]
Pd (0.000, 0.224, 0.750) [4 per cell]

Results
Total DFT energy (no corrections): -61.55 eV per cell
Magnetization: 0.0 μB/f.u.
Mass density: 5153 kg/m3